# 1
Here is an optimized crystal structure of Hf5In2Hg from Alexandria via LeMat-Bulk. Energies are from PBE-GGA.

Output
N(E_F) in states/eV per cell: 12.8
Energy of formation in meV per atom: -91
Distance to the lowest polymorph of the same formula in eV/f.u.: 0.00
E in eV per cell: -112.54
Calculated volume in Å³/atom: 21.576
ρ in g/cm³: 12.725

Cell lengths 4.3777, 4.3777, 18.0135 Å; angles 90.00, 90.00, 90.00 degrees
Closest atoms and distances in Å follow each position.
Space group I4/mmm (No. 139)
One atom of each set of equivalent atoms:
Hf (0.0000, 0.0000, 0.0000) (multiplicity 2)  4 Hg 3.10, 8 Hf 3.12
Hf (0.0000, 0.5000, 0.1237) (multiplicity 8)  6 Hf 3.10-3.12, 2 Hg 3.12, 4 In 3.15-3.16
In (0.0000, 0.0000, 0.2503) (multiplicity 4)  4 In 3.10, 8 Hf 3.15-3.16
Hg (0.0000, 0.0000, 0.5000) (multiplicity 2)  12 Hf 3.10-3.12

---

# 2
Here is an optimized crystal structure of KY3Fe from Alexandria via LeMat-Bulk. Energies are from PBE-GGA.

Output
N(E_F) in states/eV per cell: 8.3
Energy of formation in meV per atom: 1680
Distance to the lowest polymorph of the same formula in eV/f.u.: 7.14
E in eV per cell: -20.55
Calculated volume in Å³/atom: 29.953
ρ in g/cm³: 4.010

Cell lengths 5.3105, 5.3105, 5.3105 Å; angles 90.00, 90.00, 90.00 degrees
Closest atoms and distances in Å follow each position.
Space group Pm-3m (No. 221)
One atom of each set of equivalent atoms:
K (0.0000, 0.0000, 0.0000) (multiplicity 1)  6 Y 2.66
Y (0.0000, 0.0000, 0.5000) (multiplicity 3)  2 K 2.66
Fe (0.5000, 0.5000, 0.5000) (multiplicity 1)  12 Y 3.76

---

# 3
Here is an optimized crystal structure of Ac4NdZn5 from Alexandria via LeMat-Bulk. Energies are from PBE-GGA.

Output
N(E_F) in states/eV per cell: 12.0
Energy of formation in meV per atom: -250
E in eV per cell: -30.08
Calculated volume in Å³/atom: 28.889
ρ in g/cm³: 7.928

Cell lengths 3.8727, 3.8727, 19.2621 Å; angles 90.00, 90.00, 90.00 degrees
Closest atoms and distances in Å follow each position.
Space group P4/mmm (No. 123)
One atom of each set of equivalent atoms:
Ac (0.0000, 0.0000, 0.1019) (multiplicity 2)  8 Zn 3.37
Ac (0.0000, 0.0000, 0.3071) (multiplicity 2)  8 Zn 3.38-3.42, 1 Nd 3.71
Nd (0.0000, 0.0000, 0.5000) (multiplicity 1)  8 Zn 3.20
Zn (0.5000, 0.5000, 0.0000) (multiplicity 1)  8 Ac 3.37
Zn (0.5000, 0.5000, 0.2042) (multiplicity 2)  8 Ac 3.37-3.38
Zn (0.5000, 0.5000, 0.4137) (multiplicity 2)  4 Nd 3.20, 1 Zn 3.32, 4 Ac 3.42

---

# 4
Here is an optimized crystal structure of Mg2CuPd4 from Alexandria via LeMat-Bulk. Energies are from PBE-GGA.

Output
N(E_F) in states/eV per cell: 6.1
Energy of formation in meV per atom: -101
Distance to the lowest polymorph of the same formula in eV/f.u.: 1.80
E in eV per cell: -57.53
Calculated volume in Å³/atom: 17.733
ρ in g/cm³: 7.195

Cell lengths 4.7608, 4.7608, 10.9535 Å; angles 90.00, 90.00, 90.00 degrees
Closest atoms and distances in Å follow each position.
Space group I4/mmm (No. 139)
One atom of each set of equivalent atoms:
Mg (0.0000, 0.0000, 0.1389) (multiplicity 4)  8 Pd 2.67-2.83
Cu (0.0000, 0.0000, 0.5000) (multiplicity 2)  4 Pd 2.38
Pd (0.0000, 0.5000, 0.0000) (multiplicity 4)  2 Cu 2.38
Pd (0.0000, 0.5000, 0.2500) (multiplicity 4)  4 Mg 2.67, 2 Pd 2.74

---

# 5
Here is an optimized crystal structure of CeInPd3 from Alexandria via LeMat-Bulk. Energies are from PBE-GGA.

Output
N(E_F) in states/eV per cell: 21.1
Energy of formation in meV per atom: -568
E in eV per cell: -108.37
Calculated volume in Å³/atom: 20.540
ρ in g/cm³: 9.284

Cell lengths 8.5756, 7.6035, 6.3002 Å; angles 90.00, 90.00, 90.00 degrees
Closest atoms and distances in Å follow each position.
Space group Pnma (No. 62)
One atom of each set of equivalent atoms:
Ce (0.1078, 0.2500, 0.0275) (multiplicity 4)  6 Pd 2.67-2.89
In (0.0000, 0.0000, 0.5000) (multiplicity 4)  6 Pd 2.77-2.96
Pd (0.1523, 0.7500, 0.2048) (multiplicity 4)  2 Ce 2.67-2.89, 4 Pd 2.80, 2 In 2.96
Pd (0.2076, 0.5671, 0.8272) (multiplicity 8)  2 In 2.77-2.78, 3 Pd 2.78-2.80, 2 Ce 2.83-2.85

---

# 6
Here is an optimized crystal structure of Y2AlSi from Alexandria via LeMat-Bulk. Energies are from PBE-GGA.

Output
N(E_F) in states/eV per cell: 18.6
E in eV per cell: -86.11
Calculated volume in Å³/atom: 22.260
ρ in g/cm³: 4.343

Cell lengths 7.0884, 7.0884, 7.0884 Å; angles 90.00, 90.00, 90.00 degrees
Closest atoms and distances in Å follow each position.
Space group F-43m (No. 216)
One atom of each set of equivalent atoms:
Y (0.0000, 0.0000, 0.0000) (multiplicity 4)  4 Si 3.07, 4 Y 3.07
Y (0.2500, 0.2500, 0.2500) (multiplicity 4)  4 Al 3.07, 4 Y 3.07
Al (0.0000, 0.0000, 0.5000) (multiplicity 4)  4 Y 3.07, 4 Si 3.07
Si (0.2500, 0.2500, 0.7500) (multiplicity 4)  4 Al 3.07, 4 Y 3.07

---

# 7
Here is an optimized crystal structure of LaTmSn from Alexandria via LeMat-Bulk. Energies are from PBE-GGA.

Output
N(E_F) in states/eV per cell: 1.7
Energy of formation in meV per atom: -421
Distance to the lowest polymorph of the same formula in eV/f.u.: 0.65
E in eV per cell: -14.67
Calculated volume in Å³/atom: 31.981
ρ in g/cm³: 7.382

Cell lengths 5.1124, 5.1124, 4.2388 Å; angles 90.00, 90.00, 120.00 degrees
Closest atoms and distances in Å follow each position.
Space group P3m1 (No. 156)
One atom of each set of equivalent atoms:
La (0.0000, 0.0000, 0.0000) (multiplicity 1)  6 Sn 3.63-3.64, 6 Tm 3.63
Tm (0.3333, 0.6667, 0.4995) (multiplicity 1)  3 Sn 2.95
Sn (0.6667, 0.3333, 0.5010) (multiplicity 1)  3 Tm 2.95

---

# 8
Here is an optimized crystal structure of ErLuOs from Alexandria via LeMat-Bulk. Energies are from PBE-GGA.

Output
N(E_F) in states/eV per cell: 2.4
Energy of formation in meV per atom: -276
Distance to the lowest polymorph of the same formula in eV/f.u.: 0.10
E in eV per cell: -84.57
Calculated volume in Å³/atom: 24.665
ρ in g/cm³: 11.949

Cell lengths 6.6643, 6.6643, 6.6643 Å; angles 90.00, 90.00, 90.00 degrees
Closest atoms and distances in Å follow each position.
Space group F-43m (No. 216)
One atom of each set of equivalent atoms:
Er (0.0000, 0.0000, 0.0000) (multiplicity 4)  4 Os 2.89
Lu (0.0000, 0.0000, 0.5000) (multiplicity 4)  4 Os 2.89
Os (0.2500, 0.2500, 0.7500) (multiplicity 4)  4 Er 2.89, 4 Lu 2.89

---

# 9
Here is an optimized crystal structure of Li2P2N3 from Alexandria via LeMat-Bulk. Energies are from PBE-GGA.

Output
N(E_F) in states/eV per cell: 1.3
E in eV per cell: -84.66
Calculated volume in Å³/atom: 10.015
ρ in g/cm³: 2.791

Cell lengths 10.1297, 2.7221, 5.2000 Å; angles 90.00, 102.07, 90.00 degrees
Closest atoms and distances in Å follow each position.
Space group C2/m (No. 12)
One atom of each set of equivalent atoms:
Li (0.1711, 0.0000, 0.1886) (multiplicity 4)  5 N 2.17-2.34
P (0.0565, 0.5000, 0.7223) (multiplicity 4)  3 N 1.66-1.70
N (0.0000, 0.5000, 0.0000) (multiplicity 2)  2 P 1.66
N (0.1578, 0.0000, 0.7330) (multiplicity 4)  2 P 1.70

---

# 10
Here is an optimized crystal structure of Y2CoRh from Alexandria via LeMat-Bulk. Energies are from PBE-GGA.

Output
N(E_F) in states/eV per cell: 4.6
Energy of formation in meV per atom: -467
E in eV per cell: -58.51
Calculated volume in Å³/atom: 20.857
ρ in g/cm³: 6.760

Cell lengths 4.0004, 3.9656, 10.5178 Å; angles 90.00, 90.00, 90.00 degrees
Closest atoms and distances in Å follow each position.
Space group Amm2 (No. 38)
One atom of each set of equivalent atoms:
Y (0.0000, 0.0000, 0.0000) (multiplicity 2)  4 Rh 2.93, 3 Co 2.96-3.03
Y (0.5000, 0.0000, 0.2907) (multiplicity 2)  4 Co 2.92, 3 Rh 2.99-3.02
Co (0.0000, 0.0000, 0.7181) (multiplicity 2)  2 Rh 2.49
Rh (0.5000, 0.0000, 0.5777) (multiplicity 2)  2 Co 2.49

---

# 11
Here is an optimized crystal structure of YZrPt2 from Alexandria via LeMat-Bulk. Energies are from PBE-GGA.

Output
N(E_F) in states/eV per cell: 11.3
Energy of formation in meV per atom: -590
E in eV per cell: -117.82
Calculated volume in Å³/atom: 23.512
ρ in g/cm³: 10.069

Cell lengths 7.2965, 7.2965, 7.0661 Å; angles 90.00, 90.00, 90.00 degrees
Closest atoms and distances in Å follow each position.
Space group I-42d (No. 122)
One atom of each set of equivalent atoms:
Y (0.0000, 0.0000, 0.0000) (multiplicity 4)  4 Pt 2.85
Zr (0.0000, 0.0000, 0.5000) (multiplicity 4)  4 Pt 2.61
Pt (0.2253, 0.2500, 0.6250) (multiplicity 8)  2 Zr 2.61, 2 Y 2.85

---

# 12
Here is an optimized crystal structure of Dy2Ga3Pt2 from Alexandria via LeMat-Bulk. Energies are from PBE-GGA.

Output
N(E_F) in states/eV per cell: 9.3
Energy of formation in meV per atom: -934
E in eV per cell: -73.81
Calculated volume in Å³/atom: 19.232
ρ in g/cm³: 11.401

Cell lengths 10.0567, 4.3503, 6.6937 Å; angles 90.00, 113.16, 90.00 degrees
Closest atoms and distances in Å follow each position.
Space group C2/m (No. 12)
One atom of each set of equivalent atoms:
Dy (0.1517, 0.0000, 0.2742) (multiplicity 4)  4 Pt 2.96-3.01, 6 Ga 3.03-3.31
Ga (0.0000, 0.5000, 0.5000) (multiplicity 2)  4 Pt 2.69, 2 Ga 2.72
Ga (0.1142, 0.5000, 0.9413) (multiplicity 4)  3 Pt 2.62-2.72, 2 Ga 2.71-2.72
Pt (0.1403, 0.0000, 0.7166) (multiplicity 4)  5 Ga 2.62-2.72